10
Lattice="-5.788 -3.848 -1.422 4.074 -5.103 -2.774 0.238 -1.524 3.153" Properties=species:S:1:pos:R:3 comment="ScTa2Ga2 (PBE-GGA, optimized geometry)" dos_at_fermi_per_ev_cell=13.531 pbc="T T T"
Ga 1.397 -5.894 -2.954
Ga -2.502 -6.559 -2.981
Ga 0.788 -2.393 -1.216
Ga -3.111 -3.058 -1.243
Sc 0.000 0.000 0.000
Sc -0.857 -4.476 -2.098
Ta -3.338 -5.625 -0.512
Ta -1.082 -2.901 0.633
Ta 1.862 -4.850 -0.531
Ta -0.394 -7.574 -1.677

=====

5
Lattice="3.799 0.000 0.000 0.000 3.799 0.000 -1.900 -1.900 6.480" Properties=species:S:1:pos:R:3 comment="ScTaGa3 (PBE-GGA, optimized geometry)" dos_at_fermi_per_ev_cell=4.406 polymorph_energy_mev_per_atom=0.0 pbc="T T T"
Ga 1.900 0.000 3.565
Ga 0.000 0.000 5.481
Ga 0.000 1.900 3.565
Sc 1.900 1.900 6.372
Ta 1.900 1.900 1.626

=====

5
Lattice="-1.827 -2.892 2.970 -2.162 -2.298 -3.568 3.599 -2.717 -0.431" Properties=species:S:1:pos:R:3 comment="ScTaV2Ga (PBE-GGA, optimized geometry)" dos_at_fermi_per_ev_cell=10.775 pbc="T T T"
Ta -0.195 -3.953 -0.515
V 1.799 -1.359 -0.216
V -0.914 -1.446 1.485
Ga 0.000 0.000 0.000
Sc -1.081 -1.149 -1.784

=====

12
Lattice="6.114 -0.668 0.000 -2.481 8.622 0.000 -1.816 -3.977 6.706" Properties=species:S:1:pos:R:3 comment="Tb4ScGa (PBE-GGA, optimized geometry)" dos_at_fermi_per_ev_cell=18.455 pbc="T T T"
Tb -1.520 1.957 5.303
Tb -1.169 5.149 4.247
Tb 3.353 5.600 1.402
Tb 0.071 0.838 2.459
Tb 3.336 2.019 1.402
Tb 2.986 -1.172 2.459
Tb 1.745 3.138 4.247
Tb -1.537 -1.623 5.303
Sc 1.529 -0.167 5.361
Sc 0.288 4.144 1.345
Ga 4.586 -0.501 0.003
Ga -2.769 4.478 6.702

=====

4
Lattice="4.529 0.000 0.000 0.000 4.501 0.000 0.000 0.000 4.501" Properties=species:S:1:pos:R:3 comment="TbSc2Ga (PBE-GGA, optimized geometry)" dos_at_fermi_per_ev_cell=4.716 polymorph_energy_mev_per_atom=15.7 pbc="T T T"
Sc 0.000 0.000 2.251
Sc 0.000 2.251 0.000
Tb 2.264 2.251 2.251
Ga 2.264 0.000 0.000

=====

20
Lattice="5.849 0.000 0.000 0.000 7.323 0.000 0.000 0.000 11.141" Properties=species:S:1:pos:R:3 comment="TbScGa3 (PBE-GGA, optimized geometry)" dos_at_fermi_per_ev_cell=17.293 polymorph_energy_mev_per_atom=379.2 pbc="T T T"
Ga 5.848 3.701 8.356
Ga 1.463 1.831 4.198
Ga 0.001 3.622 2.785
Ga 4.386 5.492 9.768
Ga 1.463 1.831 1.373
Ga 2.925 0.040 2.785
Ga 4.387 1.830 1.373
Ga 1.461 5.493 9.768
Ga 4.387 1.830 4.198
Ga 4.386 5.492 6.943
Ga 1.461 5.493 6.943
Ga 2.924 7.283 8.356
Tb 0.001 6.679 2.785
Tb 2.925 4.306 2.785
Tb 2.923 3.017 8.356
Tb 5.848 0.644 8.356
Sc 2.924 0.000 0.000
Sc 0.000 3.662 0.000
Sc 0.000 3.662 5.570
Sc 2.924 0.000 5.570

=====

4
Lattice="-2.746 0.345 2.176 -2.543 -2.435 0.025 2.469 -5.056 6.766" Properties=species:S:1:pos:R:3 comment="TbScGa2 (PBE-GGA, optimized geometry)" dos_at_fermi_per_ev_cell=2.047 polymorph_energy_mev_per_atom=187.0 pbc="T T T"
Tb -1.410 -3.573 4.483
Sc 0.000 0.000 0.000
Ga -2.060 -5.416 6.804
Ga -0.760 -1.729 2.163

=====

12
Lattice="-1.660 -1.895 5.746 1.196 -5.919 -1.607 7.620 4.745 0.341" Properties=species:S:1:pos:R:3 comment="Tb3ScGa2 (PBE-GGA, optimized geometry)" dos_at_fermi_per_ev_cell=13.118 pbc="T T T"
Sc 0.897 -4.439 -1.205
Sc -1.361 -3.375 5.344
Tb 4.310 0.050 3.022
Tb 2.846 -3.119 1.457
Tb 1.395 -1.134 5.215
Tb 5.761 -1.935 -0.735
Tb -0.531 -2.427 2.471
Tb 0.067 -5.387 1.667
Ga 1.251 -4.185 4.195
Ga 1.520 -0.235 1.997
Ga 5.905 1.115 0.284
Ga 5.636 -2.835 2.482

=====

12
Lattice="4.236 0.000 0.000 0.000 4.236 0.000 0.000 0.000 12.671" Properties=species:S:1:pos:R:3 comment="Tb2ScGa9 (PBE-GGA, optimized geometry)" dos_at_fermi_per_ev_cell=4.107 pbc="T T T"
Tb 0.000 0.000 8.501
Tb 0.000 0.000 4.169
Ga 2.118 0.000 2.011
Ga 2.118 2.118 4.217
Ga 2.118 0.000 10.660
Ga 2.118 0.000 6.335
Ga 0.000 2.118 2.011
Ga 2.118 2.118 0.000
Ga 2.118 2.118 8.454
Ga 0.000 2.118 10.660
Ga 0.000 2.118 6.335
Sc 0.000 0.000 0.000

=====

10
Lattice="3.325 0.000 0.000 0.000 3.325 0.000 0.000 0.000 18.797" Properties=species:S:1:pos:R:3 comment="TbSc5Ga4 (PBE-GGA, optimized geometry)" dos_at_fermi_per_ev_cell=7.984 pbc="T T T"
Sc 1.663 1.663 9.399
Sc 1.663 1.663 16.278
Sc 1.663 1.663 5.952
Sc 1.663 1.663 12.845
Sc 1.663 1.663 2.520
Ga 0.000 0.000 14.590
Ga 0.000 0.000 7.671
Ga 0.000 0.000 11.126
Ga 0.000 0.000 4.207
Tb 0.000 0.000 0.000

=====

12
Lattice="-0.158 -4.318 -2.445 3.833 1.024 2.985 -5.951 -5.100 9.388" Properties=species:S:1:pos:R:3 comment="Tb2ScGa3 (PBE-GGA, optimized geometry)" dos_at_fermi_per_ev_cell=5.574 polymorph_energy_mev_per_atom=0.0 pbc="T T T"
Tb -2.975 -2.550 4.694
Tb 1.472 -1.640 2.801
Tb 0.000 0.000 0.000
Tb -3.748 -6.754 7.127
Ga 0.658 -2.978 0.176
Ga -2.934 -5.416 9.752
Ga -1.518 -1.301 2.395
Ga 0.006 -2.897 5.114
Ga -4.433 -3.799 6.993
Ga -2.282 -5.497 4.814
Sc -1.461 -4.153 7.427
Sc -0.815 -4.241 2.501

=====

12
Lattice="-1.293 -4.331 -0.943 5.671 -1.111 -2.675 3.241 -2.708 7.995" Properties=species:S:1:pos:R:3 comment="TbSc3Ga2 (PBE-GGA, optimized geometry)" dos_at_fermi_per_ev_cell=11.942 polymorph_energy_mev_per_atom=0.0 pbc="T T T"
Sc 3.708 -3.394 -0.802
Sc 5.581 -1.200 -2.143
Sc 2.879 -1.186 1.499
Sc 2.940 -4.566 5.637
Sc 5.653 -3.074 6.367
Sc 7.010 -2.825 3.359
Ga 5.596 -1.849 0.818
Ga 1.001 -2.753 -0.032
Ga 3.648 -2.035 4.345
Ga 6.249 -5.325 4.583
Tb 1.085 -3.438 3.001
Tb 4.242 -4.263 2.457

=====

| no. | spin magnetization (μB/atom) | formation energy (eV per atom) |
| --- | --- | --- |
| 1 | 0.00 | -0.2234 |
| 2 | 0.00 | -0.0589 |
| 3 | 0.00 | 1.0657 |
| 4 | 0.00 | -0.0879 |
| 5 | 0.24 | -0.2757 |
| 6 | 0.00 | -0.2473 |
| 7 | 0.00 | -0.4018 |
| 8 | 0.24 | -0.3883 |
| 9 | 0.00 | -0.5258 |
| 10 | 0.00 | -0.4702 |
| 11 | 0.00 | -0.5745 |
| 12 | 0.00 | -0.4558 |